Record 1
VASP calculation (GGA-PBE) on crystalline Tl3Cd2PbF9 at its relaxed geometry.

Computed properties:
Its space group is P-3m1 (164).

Cell: 6.441 6.441 8.263 Å, 90.00 90.00 120.00°
Positions (direct):
1 Tl 0.000 0.000 0.000
2 Tl 0.333 0.667 0.730
3 Tl 0.667 0.333 0.270
4 Cd 0.333 0.667 0.166
5 Cd 0.667 0.333 0.834
6 Pb 0.000 0.000 0.500
7 F 0.000 0.500 0.000
8 F 0.164 0.329 0.306
9 F 0.164 0.836 0.306
10 F 0.329 0.164 0.694
11 F 0.500 0.000 0.000
12 F 0.500 0.500 0.000
13 F 0.671 0.836 0.306
14 F 0.836 0.164 0.694
15 F 0.836 0.671 0.694


Record 2
VASP calculation (GGA-PBE) on crystalline TlCdPb2F8 at its relaxed geometry.

Computed properties:
Its space group is Pmmm (47).

Cell: 4.125 5.805 8.303 Å, 90.00 90.00 90.00°
Positions (direct):
1 Tl 0.000 0.000 0.000
2 Cd 0.000 0.000 0.500
3 Pb 0.500 0.500 0.260
4 Pb 0.500 0.500 0.740
5 F 0.000 0.239 0.269
6 F 0.000 0.239 0.731
7 F 0.000 0.761 0.269
8 F 0.000 0.761 0.731
9 F 0.500 0.233 0.000
10 F 0.500 0.236 0.500
11 F 0.500 0.764 0.500
12 F 0.500 0.767 0.000


Record 3
VASP calculation (GGA-PBE) on crystalline YCdPbF2 at its relaxed geometry.

Computed properties:
Its space group is P4/mmm (123).

Cell: 4.362 4.362 6.718 Å, 90.00 90.00 90.00°
Positions (direct):
1 Y 0.000 0.000 0.000
2 Cd 0.500 0.500 0.500
3 Pb 0.000 0.000 0.500
4 F 0.000 0.500 0.000
5 F 0.500 0.000 0.000


Record 4
VASP calculation (GGA-PBE) on crystalline ZnCd2PbF8 at its relaxed geometry.

Computed properties:
Its space group is P2/m (10).

Cell: 4.706 7.270 5.375 Å, 90.00 90.11 90.00°
Positions (direct):
1 Zn 0.000 0.000 0.000
2 Cd 0.500 0.235 0.500
3 Cd 0.500 0.765 0.500
4 Pb 0.000 0.500 0.000
5 F 0.143 0.216 0.224
6 F 0.143 0.784 0.224
7 F 0.334 0.000 0.742
8 F 0.408 0.500 0.727
9 F 0.592 0.500 0.273
10 F 0.666 0.000 0.258
11 F 0.857 0.216 0.776
12 F 0.857 0.784 0.776


Record 5
VASP calculation (GGA-PBE) on crystalline ZnCdPbF6 at its relaxed geometry.

Computed properties:
Its space group is P-31c (163).

Cell: 5.715 5.715 10.364 Å, 90.00 90.00 120.00°
Positions (direct):
1 Zn 0.333 0.667 0.250
2 Zn 0.667 0.333 0.750
3 Cd 0.333 0.667 0.750
4 Cd 0.667 0.333 0.250
5 Pb 0.000 0.000 0.000
6 Pb 0.000 0.000 0.500
7 F 0.026 0.369 0.140
8 F 0.026 0.657 0.360
9 F 0.343 0.369 0.360
10 F 0.343 0.974 0.140
11 F 0.369 0.026 0.640
12 F 0.369 0.343 0.860
13 F 0.631 0.657 0.140
14 F 0.631 0.974 0.360
15 F 0.657 0.026 0.860
16 F 0.657 0.631 0.640
17 F 0.974 0.343 0.640
18 F 0.974 0.631 0.860


Record 6
VASP calculation (GGA-PBE) on crystalline CdPdF4 at its relaxed geometry.

Computed properties:
Its space group is P2_1/c (14). For the offset from the most stable computed form, the calculation gives 33 meV/atom.

Cell: 5.529 5.498 5.508 Å, 90.00 91.43 90.00°
Positions (direct):
1 Cd 0.000 0.000 0.000
2 Cd 0.000 0.500 0.500
3 Pd 0.500 0.000 0.500
4 Pd 0.500 0.500 0.000
5 F 0.163 0.158 0.348
6 F 0.163 0.342 0.848
7 F 0.337 0.672 0.323
8 F 0.337 0.828 0.823
9 F 0.663 0.172 0.177
10 F 0.663 0.328 0.677
11 F 0.837 0.658 0.152
12 F 0.837 0.842 0.652


Record 7
VASP calculation (GGA-PBE) on crystalline CdPdF3 at its relaxed geometry.

Computed properties:
Its space group is Pm-3m (221). For the offset from the most stable computed form, the calculation gives 0 meV/atom.

Cell: 4.406 4.406 4.406 Å, 90.00 90.00 90.00°
Positions (direct):
1 Cd 0.000 0.000 0.000
2 Pd 0.500 0.500 0.500
3 F 0.000 0.000 0.500
4 F 0.000 0.500 0.000
5 F 0.500 0.000 0.000


Record 8
VASP calculation (GGA-PBE) on crystalline CdPdF2 at its relaxed geometry.

Computed properties:
Its space group is I-42d (122). For the offset from the most stable computed form, the calculation gives 95 meV/atom.

Cell: 6.450 6.450 5.836 Å, 90.00 90.00 90.00°
Positions (direct):
1 Cd 0.000 0.000 0.000
2 Cd 0.000 0.500 0.250
3 Cd 0.500 0.000 0.750
4 Cd 0.500 0.500 0.500
5 Pd 0.000 0.000 0.500
6 Pd 0.000 0.500 0.750
7 Pd 0.500 0.000 0.250
8 Pd 0.500 0.500 0.000
9 F 0.231 0.250 0.125
10 F 0.250 0.731 0.375
11 F 0.250 0.769 0.875
12 F 0.269 0.250 0.625
13 F 0.731 0.750 0.625
14 F 0.750 0.231 0.875
15 F 0.750 0.269 0.375
16 F 0.769 0.750 0.125


Record 9
VASP calculation (GGA-PBE) on crystalline CdPdF2 at its relaxed geometry.

Computed properties:
Its space group is R-3m (166). For the offset from the most stable computed form, the calculation gives 0 meV/atom.

Cell: 3.283 3.283 21.629 Å, 90.00 90.00 120.00°
Positions (direct):
1 Cd 0.000 0.000 0.000
2 Cd 0.333 0.667 0.667
3 Cd 0.667 0.333 0.333
4 Pd 0.000 0.000 0.500
5 Pd 0.333 0.667 0.167
6 Pd 0.667 0.333 0.833
7 F 0.000 0.000 0.397
8 F 0.000 0.000 0.603
9 F 0.333 0.667 0.064
10 F 0.333 0.667 0.269
11 F 0.667 0.333 0.731
12 F 0.667 0.333 0.936


Record 10
VASP calculation (GGA-PBE) on crystalline CdPdF6 at its relaxed geometry.

Computed properties:
Its space group is R-3 (148).

Cell: 5.727 5.727 5.727 Å, 54.43 54.43 54.43°
Positions (direct):
1 Cd 0.000 0.000 0.000
2 Pd 0.500 0.500 0.500
3 F 0.116 0.721 0.429
4 F 0.279 0.571 0.884
5 F 0.429 0.116 0.721
6 F 0.571 0.884 0.279
7 F 0.721 0.429 0.116
8 F 0.884 0.279 0.571


Record 11
VASP calculation (GGA-PBE) on crystalline CdPdF2 at its relaxed geometry.

Computed properties:
Its space group is Fm-3m (225). For the offset from the most stable computed form, the calculation gives 128 meV/atom.

Cell: 6.045 6.045 6.045 Å, 90.00 90.00 90.00°
Positions (direct):
1 Cd 0.000 0.000 0.000
2 Cd 0.000 0.500 0.500
3 Cd 0.500 0.000 0.500
4 Cd 0.500 0.500 0.000
5 Pd 0.000 0.000 0.500
6 Pd 0.000 0.500 0.000
7 Pd 0.500 0.000 0.000
8 Pd 0.500 0.500 0.500
9 F 0.250 0.250 0.250
10 F 0.250 0.250 0.750
11 F 0.250 0.750 0.250
12 F 0.250 0.750 0.750
13 F 0.750 0.250 0.250
14 F 0.750 0.250 0.750
15 F 0.750 0.750 0.250
16 F 0.750 0.750 0.750


Record 12
VASP calculation (GGA-PBE) on crystalline CdPdF5 at its relaxed geometry.

Computed properties:
Its space group is C2/c (15).

Cell: 5.541 5.541 8.270 Å, 110.97 110.97 69.67°
Positions (direct):
1 Cd 0.038 0.962 0.750
2 Cd 0.962 0.038 0.250
3 Pd 0.500 0.500 0.000
4 Pd 0.500 0.500 0.500
5 F 0.150 0.759 0.019
6 F 0.193 0.339 0.365
7 F 0.241 0.850 0.481
8 F 0.339 0.193 0.865
9 F 0.407 0.593 0.750
10 F 0.593 0.407 0.250
11 F 0.661 0.807 0.135
12 F 0.759 0.150 0.519
13 F 0.807 0.661 0.635
14 F 0.850 0.241 0.981


no.,electronic total energy (eV per cell)
1,-60.3
2,-51.7
3,-25.3
4,-48.7
5,-75.6
6,-46.7
7,-17.5
8,-55.1
9,-42.5
10,-30.4
11,-54.6
12,-53.9